An optimized crystal structure of BaLaDy4Se8, computed with PBE.

Summary:
Space group: No. 160
Total magnetization in μB per formula unit: 0.0
Energy in eV/cell: -78.30
E_form (uncorrected) in eV per atom: -1.798
V in A^3/atom: 33.00
Theoretical density in g/cm³: 5.60
Density of states at the Fermi level in states/eV/atom: 0.32

Unit cell a=8.758 b=8.758 c=8.758 alpha=58.80 beta=58.80 gamma=58.80
Fractional coordinates of all 14 atoms:
1 Ba 0.000 0.000 0.000
2 La 0.630 0.630 0.630
3 Dy 0.124 0.629 0.629
4 Dy 0.254 0.254 0.254
5 Dy 0.629 0.124 0.629
6 Dy 0.629 0.629 0.124
7 Se 0.378 0.378 0.861
8 Se 0.378 0.861 0.378
9 Se 0.386 0.386 0.386
10 Se 0.427 0.869 0.869
11 Se 0.860 0.860 0.860
12 Se 0.861 0.378 0.378
13 Se 0.869 0.427 0.869
14 Se 0.869 0.869 0.427

An optimized crystal structure of Ba3LaDy2Te6, computed with PBE.

Summary:
Space group: No. 12
Total magnetization in μB per formula unit: 0.0
Energy in eV/cell: -57.48
E_form (uncorrected) in eV per atom: -1.561
V in A^3/atom: 36.45
Theoretical density in g/cm³: 6.23
Density of states at the Fermi level in states/eV/atom: 0.47

Unit cell a=8.018 b=8.018 c=8.296 alpha=99.30 beta=99.30 gamma=119.94
Fractional coordinates of all 12 atoms:
1 Ba 0.000 0.000 0.000
2 Ba 0.337 0.663 0.000
3 Ba 0.663 0.337 0.000
4 La 0.500 0.500 0.500
5 Dy 0.168 0.832 0.500
6 Dy 0.832 0.168 0.500
7 Te 0.083 0.426 0.280
8 Te 0.228 0.228 0.716
9 Te 0.426 0.083 0.280
10 Te 0.574 0.917 0.720
11 Te 0.772 0.772 0.284
12 Te 0.917 0.574 0.720

An optimized crystal structure of Ba3La3DyTe8, computed with PBE.

Summary:
Space group: No. 166
Total magnetization in μB per formula unit: 0.0
Energy in eV/cell: -74.69
E_form (uncorrected) in eV per atom: -1.627
V in A^3/atom: 40.22
Theoretical density in g/cm³: 5.54
Density of states at the Fermi level in states/eV/atom: 0.34

Unit cell a=9.680 b=9.680 c=9.680 alpha=57.42 beta=57.42 gamma=57.42
Fractional coordinates of all 15 atoms:
1 Ba 0.000 0.500 0.500
2 Ba 0.500 0.000 0.500
3 Ba 0.500 0.500 0.000
4 La 0.000 0.000 0.500
5 La 0.000 0.500 0.000
6 La 0.500 0.000 0.000
7 Dy 0.500 0.500 0.500
8 Te 0.243 0.243 0.243
9 Te 0.249 0.735 0.735
10 Te 0.265 0.265 0.751
11 Te 0.265 0.751 0.265
12 Te 0.735 0.249 0.735
13 Te 0.735 0.735 0.249
14 Te 0.751 0.265 0.265
15 Te 0.757 0.757 0.757

An optimized crystal structure of BaLiDyMg, computed with PBE.

Summary:
Space group: No. 216
Total magnetization in μB per formula unit: 0.0
Energy in eV/cell: -37.94
Energy of formation from the pure elements in eV/f.u.: 0.5
V in A^3/atom: 33.45
Theoretical density in g/cm³: 4.11
Density of states at the Fermi level in states/eV/atom: 1.12

Unit cell a=8.119 b=8.119 c=8.119 alpha=90.00 beta=90.00 gamma=90.00
Fractional coordinates of all 16 atoms:
1 Ba 0.000 0.000 0.000
2 Ba 0.000 0.500 0.500
3 Ba 0.500 0.000 0.500
4 Ba 0.500 0.500 0.000
5 Li 0.250 0.250 0.750
6 Li 0.250 0.750 0.250
7 Li 0.750 0.250 0.250
8 Li 0.750 0.750 0.750
9 Dy 0.000 0.000 0.500
10 Dy 0.000 0.500 0.000
11 Dy 0.500 0.000 0.000
12 Dy 0.500 0.500 0.500
13 Mg 0.250 0.250 0.250
14 Mg 0.250 0.750 0.750
15 Mg 0.750 0.250 0.750
16 Mg 0.750 0.750 0.250